Sb2MoIr | GGA-PBE | relaxed

extended XYZ file:
```
4
Lattice="0.0000 3.3218 3.3218 3.3218 0.0000 3.3218 3.3218 3.3218 0.0000" Properties=species:S:1:pos:R:3 pbc="T T T"
Sb 1.6609 1.6609 1.6609
Sb 4.9827 4.9827 4.9827
Mo 0.0000 0.0000 0.0000
Ir 3.3218 3.3218 3.3218
```

Output
Its total magnetic moment is 0.0 μB/f.u. The value obtained for the raw total energy is -26.93 eV/f.u. As for the density: 12.04 g/cm3. The calculation puts the formation energy from raw total energies at 0.253 eV/atom. Its density of states at the Fermi level is 2.10 states/eV/f.u. As for the volume: 73 Å³/cell.